(1)
The following is a DFT calculation (PBE) of Pr3Er2Sc2 after structural relaxation.

abc: 8.4317 8.4317 8.5492
angles: 117.34 117.34 24.02
Element x y z (fractional)
Pr  0.0000  0.0000  0.0000
Pr  0.2945  0.2945  0.7098
Pr  0.7055  0.7055  0.2902
Er  0.3696  0.3696  0.1836
Er  0.6304  0.6304  0.8164
Sc  0.0697  0.0697  0.4347
Sc  0.9303  0.9303  0.5653

theoretical density: 6.4 g cm⁻³
total DFT energy (no corrections): -5.112 eV/atom
energy of formation from the pure elements: 49 meV/atom
N(E_F): 1.44 states/eV per atom

(2)
The following is a DFT calculation (PBE) of Pr5Er2Sc2 after structural relaxation.

abc: 10.1495 10.1495 8.6206
angles: 102.58 102.58 19.77
Element x y z (fractional)
Pr  0.0000  0.0000  0.0000
Pr  0.2171  0.2171  0.6452
Pr  0.3381  0.3381  0.0148
Pr  0.6619  0.6619  0.9852
Pr  0.7829  0.7829  0.3548
Er  0.0543  0.0543  0.6602
Er  0.9457  0.9457  0.3398
Sc  0.4047  0.4047  0.6485
Sc  0.5953  0.5953  0.3515

theoretical density: 6.4 g cm⁻³
total DFT energy (no corrections): -4.964 eV/atom
energy of formation from the pure elements: 113 meV/atom
polymorph energy (0 for the lowest one): 0.0000 eV/atom
N(E_F): 1.62 states/eV per atom

(3)
The following is a DFT calculation (PBE) of Pr8Er6Sc after structural relaxation.

abc: 8.7381 8.7381 8.7381
angles: 62.90 62.90 62.90
Element x y z (fractional)
Pr  0.0783  0.0783  0.0783
Pr  0.2144  0.2574  0.6123
Pr  0.2574  0.6123  0.2144
Pr  0.3876  0.7856  0.7426
Pr  0.6123  0.2144  0.2574
Pr  0.7426  0.3876  0.7856
Pr  0.7856  0.7426  0.3876
Pr  0.9217  0.9217  0.9217
Er  0.0435  0.7476  0.5950
Er  0.2524  0.4050  0.9565
Er  0.4050  0.9565  0.2524
Er  0.5950  0.0435  0.7476
Er  0.7476  0.5950  0.0435
Er  0.9565  0.2524  0.4050
Sc  0.5000  0.5000  0.5000

theoretical density: 7.2 g cm⁻³
total DFT energy (no corrections): -4.667 eV/atom
energy of formation from the pure elements: 129 meV/atom
N(E_F): 1.57 states/eV per atom

Number 1 is which compound?
Pr3Er2Sc2